Compound: PtPb3
Source: the Alexandria database
Functional: PBE-GGA
Structure: optimized geometry

Cell and atoms, written as POSCAR:
```
PtPb3
1.0
2.006 -6.059 0.000
2.006 6.059 0.000
0.000 0.000 8.905
Pt Pb
2 6
direct
0.246 0.754 0.750
0.754 0.246 0.250
0.142 0.858 0.058
0.142 0.858 0.442
0.425 0.575 0.250
0.575 0.425 0.750
0.858 0.142 0.558
0.858 0.142 0.942
```

Crystal system = orthorhombic
Energy of formation = -0.1406 eV per atom
DFT total energy = -4.4320 eV per atom
Symmetry = Cmcm
E above lowest polymorph = 0.0 meV per atom

Compound: Pt3Pb
Source: the Alexandria database
Functional: PBE-GGA
Structure: optimized geometry

Cell and atoms, written as POSCAR:
```
Pt3Pb
1.0
2.987 0.000 0.000
0.000 4.083 0.000
-0.506 0.000 5.875
Pt Pb
3 1
direct
0.000 0.000 0.000
0.491 0.500 0.765
0.509 0.500 0.235
0.000 0.000 0.500
```

Crystal system = monoclinic
Energy of formation = 0.0649 eV per atom
DFT total energy = -5.3928 eV per atom
Symmetry = P2/m

Compound: PtPb3
Source: the Alexandria database
Functional: PBE-GGA
Structure: optimized geometry

Cell and atoms, written as POSCAR:
```
PtPb3
1.0
0.000 3.717 3.717
3.717 0.000 3.717
3.717 3.717 0.000
Pt Pb
1 3
direct
0.000 0.000 0.000
0.250 0.250 0.250
0.500 0.500 0.500
0.750 0.750 0.750
```

Crystal system = cubic
Energy of formation = 0.1132 eV per atom
DFT total energy = -4.1783 eV per atom
Symmetry = Fm-3m
E above lowest polymorph = 253.8 meV per atom

Compound: PtPb
Source: the Alexandria database
Functional: PBE-GGA
Structure: optimized geometry

Cell and atoms, written as POSCAR:
```
PtPb
1.0
-1.694 2.426 5.271
1.694 -2.426 5.271
1.694 2.426 -5.271
Pt Pb
2 2
direct
0.394 0.144 0.250
0.606 0.856 0.750
0.146 0.396 0.750
0.854 0.604 0.250
```

Crystal system = orthorhombic
Energy of formation = -0.0096 eV per atom
DFT total energy = -4.8841 eV per atom
Symmetry = Imma

Compound: Pt3Pb
Source: the Alexandria database
Functional: PBE-GGA
Structure: optimized geometry

Cell and atoms, written as POSCAR:
```
Pt3Pb
1.0
4.128 0.000 0.000
0.000 4.128 0.000
0.000 0.000 4.128
Pt Pb
3 1
direct
0.000 0.000 0.500
0.000 0.500 0.000
0.500 0.000 0.000
0.500 0.500 0.500
```

Crystal system = cubic
Energy of formation = -0.1040 eV per atom
DFT total energy = -5.5617 eV per atom
Symmetry = Pm-3m

Compound: PtPb
Source: the Alexandria database
Functional: PBE-GGA
Structure: optimized geometry

Cell and atoms, written as POSCAR:
```
PtPb
1.0
4.038 0.000 0.000
0.000 5.676 0.000
0.000 0.000 4.040
Pt Pb
2 2
direct
0.250 0.250 0.202
0.750 0.750 0.798
0.250 0.750 0.300
0.750 0.250 0.700
```

Crystal system = orthorhombic
Energy of formation = -0.0545 eV per atom
DFT total energy = -4.9291 eV per atom
Symmetry = Pmmn

Compound: PtPb
Source: the Alexandria database
Functional: PBE-GGA
Structure: optimized geometry

Cell and atoms, written as POSCAR:
```
PtPb
1.0
-2.106 2.106 4.810
2.106 -2.106 4.810
2.106 2.106 -4.810
Pt Pb
2 2
direct
0.375 0.625 0.750
0.625 0.375 0.250
0.125 0.875 0.250
0.875 0.125 0.750
```

Crystal system = tetragonal
Energy of formation = 0.0510 eV per atom
DFT total energy = -4.8235 eV per atom
Symmetry = I4_1/amd

Compound: Pt3Pb
Source: the Alexandria database
Functional: PBE-GGA
Structure: optimized geometry

Cell and atoms, written as POSCAR:
```
Pt3Pb
1.0
5.273 0.000 0.000
0.000 5.273 0.000
0.000 0.000 5.273
Pt Pb
6 2
direct
0.000 0.250 0.500
0.000 0.750 0.500
0.250 0.500 0.000
0.500 0.000 0.250
0.500 0.000 0.750
0.750 0.500 0.000
0.000 0.000 0.000
0.500 0.500 0.500
```

Crystal system = cubic
Energy of formation = 0.2408 eV per atom
DFT total energy = -5.2169 eV per atom
Symmetry = Pm-3n

Compound: PtPb
Source: the Alexandria database
Functional: PBE-GGA
Structure: optimized geometry

Cell and atoms, written as POSCAR:
```
PtPb
1.0
2.150 1.242 6.296
-2.150 1.242 6.296
0.000 -2.483 6.296
Pt Pb
2 2
direct
0.141 0.141 0.141
0.859 0.859 0.859
0.403 0.403 0.403
0.597 0.597 0.597
```

Crystal system = trigonal
Energy of formation = -0.0874 eV per atom
DFT total energy = -4.9620 eV per atom
Symmetry = R-3m

Compound: PtPb
Source: the Alexandria database
Functional: PBE-GGA
Structure: optimized geometry

Cell and atoms, written as POSCAR:
```
PtPb
1.0
6.139 0.000 0.000
0.000 7.020 0.000
0.000 0.000 8.429
Pt Pb
8 8
direct
0.046 0.023 0.095
0.230 0.399 0.148
0.270 0.601 0.648
0.454 0.977 0.595
0.546 0.477 0.905
0.730 0.101 0.852
0.770 0.899 0.352
0.954 0.523 0.405
0.126 0.155 0.416
0.144 0.273 0.826
0.356 0.727 0.326
0.374 0.845 0.916
0.626 0.345 0.584
0.644 0.227 0.174
0.856 0.773 0.674
0.874 0.655 0.084
```

Crystal system = orthorhombic
Energy of formation = -0.1268 eV per atom
DFT total energy = -5.0014 eV per atom
Symmetry = P2_12_12_1

Compound: PtPb
Source: the Alexandria database
Functional: PBE-GGA
Structure: optimized geometry

Cell and atoms, written as POSCAR:
```
PtPb
1.0
3.862 0.000 0.000
-1.931 3.345 0.000
0.000 0.000 7.235
Pt Pb
2 2
direct
0.333 0.667 0.250
0.667 0.333 0.750
0.000 0.000 0.000
0.000 0.000 0.500
```

Crystal system = hexagonal
Energy of formation = 0.0206 eV per atom
DFT total energy = -4.8540 eV per atom
Symmetry = P6_3/mmc

Compound: PtPb3
Source: the Alexandria database
Functional: PBE-GGA
Structure: optimized geometry

Cell and atoms, written as POSCAR:
```
PtPb3
1.0
-2.042 2.042 6.874
2.042 -2.042 6.874
2.042 2.042 -6.874
Pt Pb
1 3
direct
0.000 0.000 0.000
0.199 0.199 0.000
0.500 0.500 0.000
0.801 0.801 0.000
```

Crystal system = tetragonal
Energy of formation = -0.0379 eV per atom
DFT total energy = -4.3293 eV per atom
Symmetry = I4/mmm
E above lowest polymorph = 102.7 meV per atom

Compound: PtPb3
Source: the Alexandria database
Functional: PBE-GGA
Structure: optimized geometry

Cell and atoms, written as POSCAR:
```
PtPb3
1.0
5.247 3.029 1.090
-5.247 3.029 1.090
0.000 -6.059 1.090
Pt Pb
1 3
direct
0.000 0.000 0.000
0.000 0.500 0.500
0.500 0.000 0.500
0.500 0.500 0.000
```

Crystal system = trigonal
Energy of formation = 0.1939 eV per atom
DFT total energy = -4.0975 eV per atom
Symmetry = R-3m
E above lowest polymorph = 334.5 meV per atom

Compound: Pt3Pb4
Source: the Alexandria database
Functional: PBE-GGA
Structure: optimized geometry

Cell and atoms, written as POSCAR:
```
Pt3Pb4
1.0
-1.731 1.731 14.125
1.731 -1.731 14.125
1.731 1.731 -14.125
Pt Pb
3 4
direct
0.000 0.000 0.000
0.276 0.276 0.000
0.724 0.724 0.000
0.168 0.168 0.000
0.439 0.439 0.000
0.561 0.561 0.000
0.832 0.832 0.000
```

Crystal system = tetragonal
Energy of formation = -0.1065 eV per atom
DFT total energy = -4.8145 eV per atom
Symmetry = I4/mmm

Compound: Pt4Pb5
Source: the Alexandria database
Functional: PBE-GGA
Structure: optimized geometry

Cell and atoms, written as POSCAR:
```
Pt4Pb5
1.0
8.229 0.000 0.000
-4.115 7.127 0.000
0.000 0.000 7.231
Pt Pb
8 10
direct
0.000 0.000 0.000
0.000 0.000 0.500
0.000 0.397 0.250
0.000 0.603 0.750
0.397 0.000 0.250
0.397 0.397 0.750
0.603 0.000 0.750
0.603 0.603 0.250
0.000 0.264 0.750
0.000 0.736 0.250
0.264 0.000 0.750
0.264 0.264 0.250
0.333 0.667 0.000
0.333 0.667 0.500
0.667 0.333 0.000
0.667 0.333 0.500
0.736 0.000 0.250
0.736 0.736 0.750
```

Crystal system = hexagonal
Energy of formation = -0.0163 eV per atom
DFT total energy = -4.7613 eV per atom
Symmetry = P6_3/mcm
E above lowest polymorph = 0.0 meV per atom

Compound: PtPb3
Source: the Alexandria database
Functional: PBE-GGA
Structure: optimized geometry

Cell and atoms, written as POSCAR:
```
PtPb3
1.0
4.697 0.000 0.000
0.000 4.697 0.000
0.000 0.000 4.697
Pt Pb
1 3
direct
0.000 0.000 0.000
0.000 0.500 0.500
0.500 0.000 0.500
0.500 0.500 0.000
```

Crystal system = cubic
Energy of formation = 0.0989 eV per atom
DFT total energy = -4.1926 eV per atom
Symmetry = Pm-3m
E above lowest polymorph = 239.4 meV per atom

Compound: Pt5Pb
Source: the Alexandria database
Functional: PBE-GGA
Structure: optimized geometry

Cell and atoms, written as POSCAR:
```
Pt5Pb
1.0
5.516 -1.439 0.000
5.516 1.439 0.000
-2.228 0.000 6.522
Pt Pb
5 1
direct
0.000 0.000 0.000
0.324 0.324 0.678
0.339 0.339 0.152
0.661 0.661 0.848
0.676 0.676 0.322
0.000 0.000 0.500
```

Crystal system = monoclinic
Energy of formation = 0.0529 eV per atom
DFT total energy = -5.5992 eV per atom
Symmetry = C2/m

Compound: PtPb3
Source: the Alexandria database
Functional: PBE-GGA
Structure: optimized geometry

Cell and atoms, written as POSCAR:
```
PtPb3
1.0
-1.874 4.866 3.055
1.874 -4.866 3.055
1.874 4.866 -3.055
Pt Pb
1 3
direct
0.000 0.000 0.000
0.347 0.847 0.500
0.613 0.304 0.309
0.995 0.304 0.691
```

Crystal system = orthorhombic
Energy of formation = -0.0741 eV per atom
DFT total energy = -4.3656 eV per atom
Symmetry = Imm2
E above lowest polymorph = 66.4 meV per atom

Compound: PtPb4
Source: the Alexandria database
Functional: PBE-GGA
Structure: optimized geometry

Cell and atoms, written as POSCAR:
```
PtPb4
1.0
5.461 0.000 0.000
0.000 5.461 0.000
0.000 0.000 5.461
Pt Pb
1 4
direct
0.000 0.000 0.000
0.000 0.000 0.500
0.000 0.500 0.000
0.500 0.000 0.000
0.500 0.500 0.500
```

Crystal system = cubic
Energy of formation = 0.1269 eV per atom
DFT total energy = -4.0479 eV per atom
Symmetry = Pm-3m

Compound: PtPb
Source: the Alexandria database
Functional: PBE-GGA
Structure: optimized geometry

Cell and atoms, written as POSCAR:
```
PtPb
1.0
5.655 0.000 0.000
0.000 5.655 0.000
0.000 0.000 5.655
Pt Pb
4 4
direct
0.045 0.045 0.045
0.455 0.955 0.545
0.545 0.455 0.955
0.955 0.545 0.455
0.045 0.545 0.955
0.455 0.455 0.455
0.545 0.955 0.045
0.955 0.045 0.545
```

Crystal system = cubic
Energy of formation = -0.0559 eV per atom
DFT total energy = -4.9305 eV per atom
Symmetry = P2_13